Here is a relaxed structure of BaCaPuO6 from the Alexandria database. Energies are from PBE.

a = 5.8958 Å, b = 5.8958 Å, c = 10.8432 Å
α = 90.00°, β = 90.00°, γ = 120.00°
Space group P-31c (No. 163)
One atom of each set of equivalent atoms:
Ba (0.0000, 0.0000, 0.0000)
Ca (0.3333, 0.6667, 0.2500)
Pu (0.3333, 0.6667, 0.7500)
O (0.0451, 0.3976, 0.6485)

Values from the calculation:
Density ... 5.264 g cm⁻³
Formation energy (no corrections) ... -2543 meV/atom
Magnetic moment ... 0.0000 μB/atom


Here is a relaxed structure of RbBaCa2O from the Alexandria database. Energies are from PBE.

a = 7.210 Å, b = 7.210 Å, c = 8.599 Å
α = 90.00°, β = 90.00°, γ = 90.00°
Space group P4/mmm (No. 123)
One atom of each set of equivalent atoms:
Rb (0.000, 0.000, 0.000)
Ba (0.000, 0.000, 0.500)
Ca (0.000, 0.500, 0.500)
O (0.500, 0.500, 0.000)

Values from the calculation:
Density ... 1.185 g cm⁻³
Density of states at the Fermi level ... 6.13 states/eV per cell
Formation energy (no corrections) ... 1093 meV/atom
Magnetic moment ... 0.1654 μB/atom


Copy entry 1 word for word.
Here is a relaxed structure of BaCaPuO6 from the Alexandria database. Energies are from PBE.

a = 5.8958 Å, b = 5.8958 Å, c = 10.8432 Å
α = 90.00°, β = 90.00°, γ = 120.00°
Space group P-31c (No. 163)
One atom of each set of equivalent atoms:
Ba (0.0000, 0.0000, 0.0000)
Ca (0.3333, 0.6667, 0.2500)
Pu (0.3333, 0.6667, 0.7500)
O (0.0451, 0.3976, 0.6485)

Values from the calculation:
Density ... 5.264 g cm⁻³
Formation energy (no corrections) ... -2543 meV/atom
Magnetic moment ... 0.0000 μB/atom


Which formula does entry 2 have?
RbBaCa2O


Repeat the first record exactly.
Here is a relaxed structure of BaCaPuO6 from the Alexandria database. Energies are from PBE.

a = 5.8958 Å, b = 5.8958 Å, c = 10.8432 Å
α = 90.00°, β = 90.00°, γ = 120.00°
Space group P-31c (No. 163)
One atom of each set of equivalent atoms:
Ba (0.0000, 0.0000, 0.0000)
Ca (0.3333, 0.6667, 0.2500)
Pu (0.3333, 0.6667, 0.7500)
O (0.0451, 0.3976, 0.6485)

Values from the calculation:
Density ... 5.264 g cm⁻³
Formation energy (no corrections) ... -2543 meV/atom
Magnetic moment ... 0.0000 μB/atom